Entry 1:
This record from Alexandria describes a geometry-optimized Pr5Nd2Tm structure. The functional is PBE-GGA.

Cell and atoms, written as POSCAR:
```
Pr5Nd2Tm
1.0
7.3388 0.0000 0.0000
0.0000 14.7362 0.0000
0.0000 0.0000 5.1980
Pr Nd Tm
10 4 2
Cartesian
0.0000 0.0000 0.0000
0.0020 3.7126 0.0000
7.3368 11.0236 0.0000
1.8265 5.5474 2.5990
1.8429 12.9156 2.5990
3.6714 3.6555 0.0000
3.6694 7.3681 0.0000
3.6674 11.0807 0.0000
5.4959 1.8207 2.5990
5.5123 9.1888 2.5990
1.8242 9.1864 2.5990
1.8452 1.8183 2.5990
5.4936 12.9179 2.5990
5.5146 5.5498 2.5990
0.0000 7.3681 0.0000
3.6694 0.0000 0.0000
```

The formation energy comes out at 0.014 eV per atom. For the density of states at the Fermi level, the calculation gives 23.6 states/eV/cell. For the calculated density, the calculation gives 6.9 g/cm3. The value obtained for the calculated volume is 35.134 A^3/atom. For the total energy, the calculation gives -37.79 eV per formula unit. The offset from the most stable computed form comes out at 0.000 eV per atom.

Entry 2:
This record from Alexandria describes a geometry-optimized Pr16Nd6Tm7 structure. The functional is PBE-GGA.

Cell and atoms, written as POSCAR:
```
Pr16Nd6Tm7
1.0
0.0000 8.0232 8.0232
8.0232 0.0000 8.0232
8.0232 8.0232 0.0000
Pr Nd Tm
16 6 7
Cartesian
10.4900 5.5564 5.5564
1.9451 1.9451 1.9451
6.0781 6.0781 1.9451
6.0781 1.9451 6.0781
5.5564 5.5564 5.5564
10.4900 10.4900 5.5564
10.4900 5.5564 10.4900
14.1013 9.9683 9.9683
1.9451 6.0781 6.0781
5.5564 10.4900 5.5564
5.5564 5.5564 10.4900
10.4900 10.4900 10.4900
9.9683 14.1013 9.9683
9.9683 9.9683 14.1013
14.1013 14.1013 14.1013
5.5564 10.4900 10.4900
8.0232 8.0232 4.7334
8.0232 4.7334 8.0232
11.3129 8.0232 8.0232
4.7334 8.0232 8.0232
8.0232 11.3129 8.0232
8.0232 8.0232 11.3129
0.0000 0.0000 0.0000
4.0116 4.0116 0.0000
4.0116 0.0000 4.0116
8.0232 4.0116 4.0116
0.0000 4.0116 4.0116
4.0116 8.0232 4.0116
4.0116 4.0116 8.0232
```

The formation energy comes out at 0.193 eV per atom. For the density of states at the Fermi level, the calculation gives 54.4 states/eV/cell. For the calculated density, the calculation gives 6.9 g/cm3. The value obtained for the calculated volume is 35.618 A^3/atom. For the total energy, the calculation gives -130.79 eV per formula unit.

Entry 3:
This record from Alexandria describes a geometry-optimized Pr14NdTm structure. The functional is PBE-GGA.

Cell and atoms, written as POSCAR:
```
Pr14NdTm
1.0
7.3855 0.0000 0.0000
0.0000 7.3855 0.0000
0.0000 0.0000 10.4725
Pr Nd Tm
14 1 1
Cartesian
0.0000 0.0000 0.0000
0.0000 3.6927 0.0000
0.0000 3.6927 5.2362
1.8343 1.8343 2.6420
1.8343 1.8343 7.8305
1.8343 5.5512 2.6420
1.8343 5.5512 7.8305
3.6927 0.0000 0.0000
3.6927 0.0000 5.2362
3.6927 3.6927 0.0000
5.5512 1.8343 2.6420
5.5512 1.8343 7.8305
5.5512 5.5512 2.6420
5.5512 5.5512 7.8305
3.6927 3.6927 5.2362
0.0000 0.0000 5.2362
```

The formation energy comes out at 0.012 eV per atom. For the density of states at the Fermi level, the calculation gives 25.2 states/eV/cell. For the calculated density, the calculation gives 6.6 g/cm3. The value obtained for the calculated volume is 35.701 A^3/atom. For the total energy, the calculation gives -75.96 eV per formula unit.

Entry 4:
This record from Alexandria describes a geometry-optimized Pr2Nd3Tm7 structure. The functional is PBE-GGA.

Cell and atoms, written as POSCAR:
```
Pr2Nd3Tm7
1.0
2.8526 -19.1066 0.0000
2.8526 19.1066 0.0000
0.0000 0.0000 3.6095
Pr Nd Tm
2 3 7
Cartesian
2.8526 13.5286 0.0000
2.8526 -13.5286 0.0000
2.8526 7.1183 1.8048
2.8526 0.0000 1.8048
2.8526 -7.1183 1.8048
0.0000 0.0000 0.0000
2.8526 16.4201 1.8048
2.8526 10.3096 0.0000
2.8526 3.3853 0.0000
2.8526 -3.3853 0.0000
2.8526 -10.3096 0.0000
2.8526 -16.4201 1.8048
```

The formation energy comes out at 0.107 eV per atom. For the density of states at the Fermi level, the calculation gives 17.2 states/eV/cell. For the calculated density, the calculation gives 8.0 g/cm3. The value obtained for the calculated volume is 32.789 A^3/atom. For the total energy, the calculation gives -53.87 eV per formula unit. The offset from the most stable computed form comes out at 0.013 eV per atom.

Entry 5:
This record from Alexandria describes a geometry-optimized Pr4NdTm5 structure. The functional is PBE-GGA.

Cell and atoms, written as POSCAR:
```
Pr4NdTm5
1.0
3.6246 0.0000 0.0000
0.0000 3.6246 0.0000
0.0000 0.0000 25.0336
Pr Nd Tm
4 1 5
Cartesian
0.0000 0.0000 2.5121
0.0000 0.0000 7.5282
0.0000 0.0000 17.5054
0.0000 0.0000 22.5215
0.0000 0.0000 12.5168
1.8123 1.8123 0.0000
1.8123 1.8123 5.0230
1.8123 1.8123 10.0367
1.8123 1.8123 14.9969
1.8123 1.8123 20.0106
```

The formation energy comes out at 0.021 eV per atom. For the density of states at the Fermi level, the calculation gives 14.0 states/eV/cell. For the calculated density, the calculation gives 7.8 g/cm3. The value obtained for the calculated volume is 32.888 A^3/atom. For the total energy, the calculation gives -46.04 eV per formula unit.

Entry 6:
This record from Alexandria describes a geometry-optimized Pr7NdTm3 structure. The functional is PBE-GGA.

Cell and atoms, written as POSCAR:
```
Pr7NdTm3
1.0
5.9300 -5.1469 0.0000
5.9300 5.1469 0.0000
-0.7091 0.0000 6.4338
Pr Nd Tm
7 1 3
Cartesian
0.0000 0.0000 0.0000
2.8258 1.8089 1.6712
2.5972 0.0000 5.0476
2.8258 -1.8089 1.6712
8.3251 1.8089 4.7627
8.5536 0.0000 1.3862
8.3251 -1.8089 4.7627
-0.3546 0.0000 3.2169
5.9300 1.7177 0.0000
5.5754 0.0000 3.2169
5.9300 -1.7177 0.0000
```

The formation energy comes out at 0.226 eV per atom. For the density of states at the Fermi level, the calculation gives 15.2 states/eV/cell. For the calculated density, the calculation gives 6.9 g/cm3. The value obtained for the calculated volume is 35.703 A^3/atom. For the total energy, the calculation gives -49.15 eV per formula unit. The offset from the most stable computed form comes out at 0.038 eV per atom.